# V3Tc5H12 PBE relaxed
data_V3Tc5H12
_chemical_formula_sum 'V12 Tc20 H48'
_symmetry_space_group_name_H-M 'P 1'
_symmetry_Int_Tables_number 1
_symmetry_space_group_name_Hall 'P 1'
_cell_length_a 9.164
_cell_length_b 9.164
_cell_length_c 9.164
_cell_angle_alpha 109.47
_cell_angle_beta 109.47
_cell_angle_gamma 109.47
loop_
_atom_site_label
_atom_site_type_symbol
_atom_site_fract_x
_atom_site_fract_y
_atom_site_fract_z
Tc1 Tc 0.500 0.000 0.500
Tc2 Tc 0.625 0.750 0.875
Tc3 Tc 0.750 0.625 0.375
Tc4 Tc 0.500 0.500 0.000
Tc5 Tc 0.500 0.000 0.000
Tc6 Tc 0.125 0.375 0.250
Tc7 Tc 0.375 0.125 0.750
Tc8 Tc 0.250 0.875 0.125
Tc9 Tc 0.750 0.125 0.875
Tc10 Tc 0.250 0.375 0.625
Tc11 Tc 0.000 0.500 0.000
Tc12 Tc 0.875 0.250 0.625
Tc13 Tc 0.625 0.875 0.250
Tc14 Tc 0.000 0.000 0.500
Tc15 Tc 0.000 0.000 0.000
Tc16 Tc 0.500 0.500 0.500
Tc17 Tc 0.375 0.250 0.125
Tc18 Tc 0.875 0.625 0.750
Tc19 Tc 0.125 0.750 0.375
Tc20 Tc 0.000 0.500 0.500
V1 V 0.250 0.625 0.875
V2 V 0.875 0.750 0.125
V3 V 0.625 0.250 0.375
V4 V 0.875 0.125 0.250
V5 V 0.125 0.875 0.750
V6 V 0.125 0.250 0.875
V7 V 0.375 0.750 0.625
V8 V 0.750 0.375 0.125
V9 V 0.375 0.625 0.250
V10 V 0.750 0.875 0.625
V11 V 0.250 0.125 0.375
V12 V 0.625 0.375 0.750
H1 H 0.357 0.935 0.772
H2 H 0.272 0.857 0.935
H3 H 0.337 0.772 0.415
H4 H 0.163 0.085 0.728
H5 H 0.915 0.079 0.643
H6 H 0.579 0.643 0.415
H7 H 0.772 0.337 0.915
H8 H 0.915 0.837 0.772
H9 H 0.728 0.585 0.163
H10 H 0.579 0.935 0.663
H11 H 0.085 0.163 0.228
H12 H 0.921 0.085 0.857
H13 H 0.837 0.915 0.272
H14 H 0.415 0.272 0.337
H15 H 0.585 0.728 0.663
H16 H 0.079 0.915 0.143
H17 H 0.435 0.772 0.857
H18 H 0.565 0.228 0.143
H19 H 0.357 0.421 0.085
H20 H 0.935 0.579 0.163
H21 H 0.857 0.272 0.435
H22 H 0.772 0.435 0.357
H23 H 0.065 0.643 0.728
H24 H 0.585 0.857 0.421
H25 H 0.415 0.143 0.579
H26 H 0.163 0.079 0.935
H27 H 0.935 0.357 0.272
H28 H 0.663 0.228 0.585
H29 H 0.085 0.921 0.357
H30 H 0.728 0.143 0.065
H31 H 0.421 0.357 0.585
H32 H 0.565 0.337 0.921
H33 H 0.921 0.837 0.565
H34 H 0.837 0.921 0.065
H35 H 0.228 0.565 0.643
H36 H 0.272 0.415 0.837
H37 H 0.228 0.663 0.085
H38 H 0.643 0.065 0.228
H39 H 0.143 0.728 0.565
H40 H 0.643 0.579 0.915
H41 H 0.143 0.415 0.079
H42 H 0.079 0.163 0.435
H43 H 0.421 0.065 0.337
H44 H 0.065 0.421 0.837
H45 H 0.337 0.565 0.421
H46 H 0.435 0.663 0.079
H47 H 0.663 0.435 0.579
H48 H 0.857 0.585 0.921
# - Crystal system: cubic
# - Uncorrected energy: -5.901 eV per atom
# - Symmetry: Ia-3d (230)

# ZrBeAs2 PBE relaxed
data_ZrBeAs2
_chemical_formula_sum 'Zr1 Be1 As2'
_symmetry_space_group_name_H-M 'P 1'
_symmetry_Int_Tables_number 1
_symmetry_space_group_name_Hall 'P 1'
_cell_length_a 4.629
_cell_length_b 4.629
_cell_length_c 4.629
_cell_angle_alpha 60.00
_cell_angle_beta 60.00
_cell_angle_gamma 60.00
loop_
_atom_site_label
_atom_site_type_symbol
_atom_site_fract_x
_atom_site_fract_y
_atom_site_fract_z
As1 As 0.000 0.000 0.000
As2 As 0.750 0.750 0.750
Be1 Be 0.500 0.500 0.500
Zr1 Zr 0.250 0.250 0.250
# - Crystal system: cubic
# - Uncorrected energy: -5.138 eV per atom
# - Formation energy from the elements: 1.02 eV per formula unit
# - Symmetry: F-43m (216)

# Tl12Bi3Cl5 PBE relaxed
data_Tl12Bi3Cl5
_chemical_formula_sum 'Tl48 Bi12 Cl20'
_symmetry_space_group_name_H-M 'P 1'
_symmetry_Int_Tables_number 1
_symmetry_space_group_name_Hall 'P 1'
_cell_length_a 16.294
_cell_length_b 16.294
_cell_length_c 16.294
_cell_angle_alpha 109.47
_cell_angle_beta 109.47
_cell_angle_gamma 109.47
loop_
_atom_site_label
_atom_site_type_symbol
_atom_site_fract_x
_atom_site_fract_y
_atom_site_fract_z
Tl1 Tl 0.280 0.420 0.831
Tl2 Tl 0.551 0.220 0.140
Tl3 Tl 0.949 0.360 0.280
Tl4 Tl 0.169 0.089 0.949
Tl5 Tl 0.080 0.169 0.220
Tl6 Tl 0.280 0.860 0.949
Tl7 Tl 0.420 0.140 0.589
Tl8 Tl 0.920 0.831 0.780
Tl9 Tl 0.580 0.860 0.411
Tl10 Tl 0.911 0.831 0.551
Tl11 Tl 0.720 0.140 0.051
Tl12 Tl 0.140 0.420 0.089
Tl13 Tl 0.860 0.580 0.911
Tl14 Tl 0.220 0.669 0.080
Tl15 Tl 0.860 0.280 0.449
Tl16 Tl 0.831 0.920 0.280
Tl17 Tl 0.640 0.589 0.920
Tl18 Tl 0.720 0.580 0.169
Tl19 Tl 0.089 0.169 0.449
Tl20 Tl 0.911 0.080 0.860
Tl21 Tl 0.589 0.949 0.669
Tl22 Tl 0.551 0.331 0.911
Tl23 Tl 0.360 0.411 0.080
Tl24 Tl 0.411 0.360 0.580
Tl25 Tl 0.051 0.640 0.720
Tl26 Tl 0.331 0.551 0.411
Tl27 Tl 0.080 0.911 0.360
Tl28 Tl 0.411 0.051 0.331
Tl29 Tl 0.949 0.589 0.169
Tl30 Tl 0.589 0.640 0.420
Tl31 Tl 0.449 0.669 0.089
Tl32 Tl 0.831 0.911 0.051
Tl33 Tl 0.140 0.720 0.551
Tl34 Tl 0.449 0.780 0.860
Tl35 Tl 0.331 0.780 0.420
Tl36 Tl 0.051 0.411 0.831
Tl37 Tl 0.360 0.949 0.780
Tl38 Tl 0.669 0.449 0.589
Tl39 Tl 0.580 0.720 0.669
Tl40 Tl 0.220 0.551 0.640
Tl41 Tl 0.169 0.080 0.720
Tl42 Tl 0.780 0.449 0.360
Tl43 Tl 0.089 0.920 0.140
Tl44 Tl 0.669 0.220 0.580
Tl45 Tl 0.640 0.051 0.220
Tl46 Tl 0.780 0.331 0.920
Tl47 Tl 0.920 0.089 0.640
Tl48 Tl 0.420 0.280 0.331
Bi1 Bi 0.125 0.875 0.750
Bi2 Bi 0.250 0.125 0.375
Bi3 Bi 0.750 0.875 0.625
Bi4 Bi 0.875 0.750 0.125
Bi5 Bi 0.125 0.250 0.875
Bi6 Bi 0.750 0.375 0.125
Bi7 Bi 0.875 0.125 0.250
Bi8 Bi 0.375 0.625 0.250
Bi9 Bi 0.250 0.625 0.875
Bi10 Bi 0.625 0.375 0.750
Bi11 Bi 0.375 0.750 0.625
Bi12 Bi 0.625 0.250 0.375
Cl1 Cl 0.875 0.250 0.625
Cl2 Cl 0.250 0.375 0.625
Cl3 Cl 0.500 0.500 0.000
Cl4 Cl 0.250 0.875 0.125
Cl5 Cl 0.375 0.250 0.125
Cl6 Cl 0.500 0.000 0.500
Cl7 Cl 0.375 0.125 0.750
Cl8 Cl 0.125 0.375 0.250
Cl9 Cl 0.625 0.750 0.875
Cl10 Cl 0.500 0.500 0.500
Cl11 Cl 0.750 0.625 0.375
Cl12 Cl 0.000 0.500 0.500
Cl13 Cl 0.125 0.750 0.375
Cl14 Cl 0.875 0.625 0.750
Cl15 Cl 0.500 0.000 0.000
Cl16 Cl 0.625 0.875 0.250
Cl17 Cl 0.000 0.500 0.000
Cl18 Cl 0.750 0.125 0.875
Cl19 Cl 0.000 0.000 0.500
Cl20 Cl 0.000 0.000 0.000
# - Crystal system: cubic
# - Uncorrected energy: -2.816 eV per atom
# - Symmetry: Ia-3d (230)
# - ΔE_f (raw): -353 meV/atom

# MgTaC3 PBE relaxed
data_MgTaC3
_chemical_formula_sum 'Mg1 Ta1 C3'
_symmetry_space_group_name_H-M 'P 1'
_symmetry_Int_Tables_number 1
_symmetry_space_group_name_Hall 'P 1'
_cell_length_a 4.176
_cell_length_b 4.176
_cell_length_c 4.176
_cell_angle_alpha 90.00
_cell_angle_beta 90.00
_cell_angle_gamma 90.00
loop_
_atom_site_label
_atom_site_type_symbol
_atom_site_fract_x
_atom_site_fract_y
_atom_site_fract_z
C1 C 0.000 0.500 0.000
C2 C 0.500 0.000 0.000
C3 C 0.000 0.000 0.500
Mg1 Mg 0.500 0.500 0.500
Ta1 Ta 0.000 0.000 0.000
# - Crystal system: cubic
# - Uncorrected energy: -6.755 eV per atom
# - Formation energy from the elements: 7.34 eV per formula unit
# - Symmetry: Pm-3m (221)

# BMo3Os PBE relaxed
data_BMo3Os
_chemical_formula_sum 'B1 Mo3 Os1'
_symmetry_space_group_name_H-M 'P 1'
_symmetry_Int_Tables_number 1
_symmetry_space_group_name_Hall 'P 1'
_cell_length_a 4.152
_cell_length_b 4.152
_cell_length_c 4.152
_cell_angle_alpha 90.00
_cell_angle_beta 90.00
_cell_angle_gamma 90.00
loop_
_atom_site_label
_atom_site_type_symbol
_atom_site_fract_x
_atom_site_fract_y
_atom_site_fract_z
Mo1 Mo 0.000 0.500 0.000
Mo2 Mo 0.000 0.000 0.500
Mo3 Mo 0.500 0.000 0.000
Os1 Os 0.500 0.500 0.500
B1 B 0.000 0.000 0.000
# - Crystal system: cubic
# - Uncorrected energy: -9.842 eV per atom
# - Formation energy from the elements: 1.19 eV per formula unit
# - Symmetry: Pm-3m (221)

# TlCu2RhCl6 PBE relaxed
data_TlCu2RhCl6
_chemical_formula_sum 'Tl1 Cu2 Rh1 Cl6'
_symmetry_space_group_name_H-M 'P 1'
_symmetry_Int_Tables_number 1
_symmetry_space_group_name_Hall 'P 1'
_cell_length_a 6.601
_cell_length_b 6.605
_cell_length_c 7.890
_cell_angle_alpha 90.01
_cell_angle_beta 114.79
_cell_angle_gamma 119.95
loop_
_atom_site_label
_atom_site_type_symbol
_atom_site_fract_x
_atom_site_fract_y
_atom_site_fract_z
Cl1 Cl 0.582 0.958 0.779
Cl2 Cl 0.823 0.784 0.181
Cl3 Cl 0.170 0.211 0.779
Cl4 Cl 0.835 0.623 0.778
Cl5 Cl 0.158 0.372 0.182
Cl6 Cl 0.412 0.037 0.181
Rh1 Rh 0.996 0.998 0.980
Tl1 Tl 0.996 0.498 0.480
Cu1 Cu 0.444 0.721 0.152
Cu2 Cu 0.550 0.275 0.810
# - Crystal system: triclinic
# - Uncorrected energy: -3.523 eV per atom
# - Symmetry: P1 (1)
# - ΔE_f (raw): -624 meV/atom

# CrTe2Ir PBE relaxed
data_CrTe2Ir
_chemical_formula_sum 'Cr1 Te2 Ir1'
_symmetry_space_group_name_H-M 'P 1'
_symmetry_Int_Tables_number 1
_symmetry_space_group_name_Hall 'P 1'
_cell_length_a 7.570
_cell_length_b 7.570
_cell_length_c 7.570
_cell_angle_alpha 150.46
_cell_angle_beta 149.49
_cell_angle_gamma 42.98
loop_
_atom_site_label
_atom_site_type_symbol
_atom_site_fract_x
_atom_site_fract_y
_atom_site_fract_z
Ir1 Ir 0.250 0.750 0.500
Te1 Te 0.119 0.119 0.000
Te2 Te 0.381 0.381 0.000
Cr1 Cr 0.750 0.250 0.500
# - Crystal system: orthorhombic
# - Uncorrected energy: -6.264 eV per atom
# - Symmetry: Immm (71)
# - ΔE_f (raw): -72 meV/atom

# CaTbNd PBE relaxed
data_CaTbNd
_chemical_formula_sum 'Ca1 Tb1 Nd1'
_symmetry_space_group_name_H-M 'P 1'
_symmetry_Int_Tables_number 1
_symmetry_space_group_name_Hall 'P 1'
_cell_length_a 3.694
_cell_length_b 3.694
_cell_length_c 8.292
_cell_angle_alpha 102.87
_cell_angle_beta 102.87
_cell_angle_gamma 90.00
loop_
_atom_site_label
_atom_site_type_symbol
_atom_site_fract_x
_atom_site_fract_y
_atom_site_fract_z
Ca1 Ca 0.999 0.999 0.997
Nd1 Nd 0.676 0.676 0.352
Tb1 Tb 0.325 0.325 0.651
# - Crystal system: tetragonal
# - Uncorrected energy: -3.757 eV per atom
# - Formation energy from the elements: 0.13 eV per formula unit
# - Symmetry: I4mm (107)

# Tb8ErSc4 PBE relaxed
data_Tb8ErSc4
_chemical_formula_sum 'Tb8 Er1 Sc4'
_symmetry_space_group_name_H-M 'P 1'
_symmetry_Int_Tables_number 1
_symmetry_space_group_name_Hall 'P 1'
_cell_length_a 6.964
_cell_length_b 6.964
_cell_length_c 10.140
_cell_angle_alpha 90.00
_cell_angle_beta 110.08
_cell_angle_gamma 120.00
loop_
_atom_site_label
_atom_site_type_symbol
_atom_site_fract_x
_atom_site_fract_y
_atom_site_fract_z
Er1 Er 0.000 0.500 0.500
Sc1 Sc 0.500 0.500 0.000
Sc2 Sc 0.000 0.000 0.000
Sc3 Sc 0.500 0.000 0.000
Sc4 Sc 0.000 0.500 0.000
Tb1 Tb 0.031 0.784 0.279
Tb2 Tb 0.504 0.752 0.721
Tb3 Tb 0.969 0.216 0.721
Tb4 Tb 0.031 0.248 0.279
Tb5 Tb 0.969 0.752 0.721
Tb6 Tb 0.423 0.212 0.635
Tb7 Tb 0.496 0.248 0.279
Tb8 Tb 0.577 0.788 0.365
# - Crystal system: trigonal
# - Uncorrected energy: -4.893 eV per atom
# - Formation energy from the elements: 3.32 eV per formula unit
# - Symmetry: R-3m (166)

# LaHoTh PBE relaxed
data_LaHoTh
_chemical_formula_sum 'La1 Ho1 Th1'
_symmetry_space_group_name_H-M 'P 1'
_symmetry_Int_Tables_number 1
_symmetry_space_group_name_Hall 'P 1'
_cell_length_a 3.480
_cell_length_b 5.760
_cell_length_c 5.760
_cell_angle_alpha 120.00
_cell_angle_beta 90.00
_cell_angle_gamma 90.00
loop_
_atom_site_label
_atom_site_type_symbol
_atom_site_fract_x
_atom_site_fract_y
_atom_site_fract_z
La1 La 0.166 0.000 0.000
Ho1 Ho 0.667 0.667 0.333
Th1 Th 0.167 0.333 0.667
# - Crystal system: hexagonal
# - Uncorrected energy: -5.544 eV per atom
# - Formation energy from the elements: 0.29 eV per formula unit
# - Symmetry: P-6m2 (187)

# V13Pt2 PBE relaxed
data_V13Pt2
_chemical_formula_sum 'V13 Pt2'
_symmetry_space_group_name_H-M 'P 1'
_symmetry_Int_Tables_number 1
_symmetry_space_group_name_Hall 'P 1'
_cell_length_a 6.661
_cell_length_b 6.661
_cell_length_c 7.556
_cell_angle_alpha 63.85
_cell_angle_beta 63.85
_cell_angle_gamma 60.00
loop_
_atom_site_label
_atom_site_type_symbol
_atom_site_fract_x
_atom_site_fract_y
_atom_site_fract_z
V1 V 0.259 0.259 0.614
V2 V 0.741 0.131 0.386
V3 V 0.131 0.741 0.386
V4 V 0.869 0.259 0.614
V5 V 0.500 0.500 0.500
V6 V 0.616 0.999 0.769
V7 V 0.999 0.616 0.769
V8 V 0.384 0.001 0.231
V9 V 0.259 0.869 0.614
V10 V 0.001 0.384 0.231
V11 V 0.616 0.616 0.769
V12 V 0.741 0.741 0.386
V13 V 0.384 0.384 0.231
Pt1 Pt 0.367 0.367 0.899
Pt2 Pt 0.633 0.633 0.101
# - Crystal system: trigonal
# - Uncorrected energy: -8.273 eV per atom
# - Formation energy from the elements: 6.53 eV per formula unit
# - Symmetry: R-3m (166)

Q: What is the uncorrected energy in the fourth record?
A: -6.755 eV per atom

Q: Which value of uncorrected energy does entry 3 give?
A: -2.816 eV per atom

Q: uncorrected energy of number 9 (Tb8ErSc4)?
A: -4.893 eV per atom